The following is a GGA-PBE calculation of Co2Ir after structural relaxation, from the Alexandria database.

Output
total moment = 9.126 Bohr magnetons per cell
relative energy among the computed polymorphs = 90 meV/atom
formation energy from the elements = 108 meV per atom
uncorrected energy = -22.7 eV per formula unit

```
6
Lattice="0.0000 3.3276 3.3276 3.3276 0.0000 3.3276 3.3276 3.3276 0.0000" Properties=species:S:1:pos:R:3 pbc="T T T"
Co 0.0000 0.0000 0.0000
Co 1.6638 1.6638 0.0000
Co 1.6638 0.0000 1.6638
Co 0.0000 1.6638 1.6638
Ir 2.4957 2.4957 2.4957
Ir 4.1595 4.1595 4.1595
```